DFT (GGA-PBE) results for an optimized crystal structure of HPdAu2.

Results
- polymorph energy (0 for the lowest one) (meV/atom) = 220
- symmetry = I-42d, No. 122

abc: 6.3408 6.3408 5.2954
angles: 53.22 53.22 90.00
Fractional coordinates of all 8 atoms:
Au (0.8750, 0.7745, 0.7500)
Au (0.2255, 0.6250, 0.2500)
Au (0.3750, 0.4755, 0.7500)
Au (0.5245, 0.1250, 0.2500)
Pd (0.0000, 0.0000, 0.0000)
Pd (0.7500, 0.2500, 0.5000)
H (0.2500, 0.7500, 0.5000)
H (0.5000, 0.5000, 0.0000)

=====

DFT (GGA-PBE) results for an optimized crystal structure of ZnAu2I.

Results
- polymorph energy (0 for the lowest one) (meV/atom) = 0
- E_form (uncorrected) (eV/atom) = 0.219
- symmetry = I-42d, No. 122

abc: 7.3162 7.3162 6.3756
angles: 54.99 54.99 90.00
Fractional coordinates of all 8 atoms:
Au (0.8750, 0.8359, 0.7500)
Au (0.3750, 0.4141, 0.7500)
Au (0.5859, 0.1250, 0.2500)
Au (0.1641, 0.6250, 0.2500)
I (0.0000, 0.0000, 0.0000)
I (0.7500, 0.2500, 0.5000)
Zn (0.5000, 0.5000, 0.0000)
Zn (0.2500, 0.7500, 0.5000)

=====

DFT (GGA-PBE) results for an optimized crystal structure of Li9In11Cu4.

Results
- final energy (eV for the cell shown) = -68.3
- symmetry = Cmmm, No. 65

abc: 3.1424 12.5424 12.5424
angles: 112.18 90.00 90.00
Fractional coordinates of all 24 atoms:
Li (0.5000, 0.6334, 0.1620)
Li (0.5000, 0.7834, 0.9263)
Li (0.5000, 0.2166, 0.0737)
Li (0.5000, 0.9263, 0.7834)
Li (0.5000, 0.3666, 0.8380)
Li (0.5000, 0.8380, 0.3666)
Li (0.5000, 0.5000, 0.5000)
Li (0.5000, 0.1620, 0.6334)
Li (0.5000, 0.0737, 0.2166)
In (0.0000, 0.4084, 0.0537)
In (0.0000, 0.6987, 0.6987)
In (0.0000, 0.0000, 0.0000)
In (0.0000, 0.5916, 0.9463)
In (0.0000, 0.9463, 0.5916)
In (0.0000, 0.8423, 0.1577)
In (0.0000, 0.0537, 0.4084)
In (0.0000, 0.1577, 0.8423)
In (0.0000, 0.3685, 0.6315)
In (0.0000, 0.3013, 0.3013)
In (0.0000, 0.6315, 0.3685)
Cu (0.5000, 0.5507, 0.7560)
Cu (0.5000, 0.2440, 0.4493)
Cu (0.5000, 0.4493, 0.2440)
Cu (0.5000, 0.7560, 0.5507)

=====

DFT (GGA-PBE) results for an optimized crystal structure of ZrC3.

Results
- polymorph energy (0 for the lowest one) (meV/atom) = 1217
- symmetry = I4/mmm, No. 139

abc: 7.2861 7.2861 7.2861
angles: 153.08 153.08 38.44
Fractional coordinates of all 8 atoms:
C (0.2500, 0.7500, 0.5000)
C (0.7500, 0.2500, 0.5000)
C (0.9451, 0.9451, 0.0000)
C (0.0549, 0.0549, 0.0000)
C (0.0000, 0.5000, 0.5000)
C (0.5000, 0.0000, 0.5000)
Zr (0.6291, 0.6291, 0.0000)
Zr (0.3709, 0.3709, 0.0000)

=====

DFT (GGA-PBE) results for an optimized crystal structure of KHfPbI2.

Results
- E_form (uncorrected) (eV/atom) = -0.272
- symmetry = P4/mmm, No. 123

abc: 5.7805 5.7818 5.7805
angles: 90.00 90.00 90.00
Fractional coordinates of all 5 atoms:
Pb (0.0000, 0.5000, 0.0000)
I (0.0000, 0.0000, 0.5000)
I (0.5000, 0.0000, 0.0000)
Hf (0.0000, 0.0000, 0.0000)
K (0.5000, 0.5000, 0.5000)

=====

DFT (GGA-PBE) results for an optimized crystal structure of KHfGa.

Results
- polymorph energy (0 for the lowest one) (meV/atom) = 279
- symmetry = Cmcm, No. 63

abc: 8.2559 8.2559 6.4276
angles: 90.00 90.00 157.60
Fractional coordinates of all 6 atoms:
Ga (0.6039, 0.3961, 0.2500)
Ga (0.3961, 0.6039, 0.7500)
K (0.3040, 0.6960, 0.2500)
K (0.6960, 0.3040, 0.7500)
Hf (0.0000, 0.0000, 0.5000)
Hf (0.0000, 0.0000, 0.0000)